Here is a geometry-optimized YSiTc2 structure from Alexandria. Energies are from PBE.

a = 4.2910 Å, b = 4.2910 Å, c = 7.3028 Å
α = 90.00°, β = 90.00°, γ = 90.00°
Space group I-4m2 (No. 119)
Inequivalent atoms, fractional coordinates:
1 Y 0.0000 0.0000 0.0000 [2 per cell]
2 Si 0.0000 0.5000 0.7500 [2 per cell]
3 Tc 0.0000 0.0000 0.5000 [2 per cell]
4 Tc 0.0000 0.5000 0.2500 [2 per cell]

## Properties
mass density = 7.73 g/cm3
energy relative to the elements, uncorrected = 0.08 eV per atom